# LiAcBe2O4 | Alexandria via LeMat-Bulk | PBE-GGA | optimized geometry
data_LiAcBe2O4
_cell_length_a 5.214
_cell_length_b 5.928
_cell_length_c 6.470
_cell_angle_alpha 90.00
_cell_angle_beta 90.00
_cell_angle_gamma 90.00
_space_group_name_H-M_alt 'I 2 2 2'
_space_group_IT_number 23
loop_
_space_group_symop_operation_xyz
'x,y,z'
'-x,-y,z'
'x,-y,-z'
'-x,y,-z'
'x+1/2,y+1/2,z+1/2'
'-x+1/2,-y+1/2,z+1/2'
'x+1/2,-y+1/2,-z+1/2'
'-x+1/2,y+1/2,-z+1/2'
loop_
_atom_site_label
_atom_site_type_symbol
_atom_site_fract_x
_atom_site_fract_y
_atom_site_fract_z
_atom_site_occupancy
Li1 Li 0.000 0.000 0.000 1
Ac1 Ac 0.000 0.000 0.500 1
Be1 Be 0.000 0.500 0.304 1
O1 O 0.223 0.353 0.309 1
# Raw formation energy (meV per atom): -2446
# Electronic total energy (eV per formula unit): -52.87

# LiAc3Be2O6 | Alexandria via LeMat-Bulk | PBE-GGA | optimized geometry
data_LiAc3Be2O6
_cell_length_a 5.4746
_cell_length_b 5.4746
_cell_length_c 6.7074
_cell_angle_alpha 90.00
_cell_angle_beta 90.00
_cell_angle_gamma 120.00
_space_group_name_H-M_alt 'P -3 m 1'
_space_group_IT_number 164
_space_group_name_Hall '-P 3 2"'
loop_
_atom_site_label
_atom_site_type_symbol
_atom_site_fract_x
_atom_site_fract_y
_atom_site_fract_z
_atom_site_occupancy
Li1 Li 0.0000 0.0000 0.0000 1
Ac1 Ac 0.0000 0.0000 0.5000 1
Ac2 Ac 0.3333 0.6667 0.1498 1
Be1 Be 0.3333 0.6667 0.7291 1
O1 O 0.1748 0.3497 0.8030 1
# Raw formation energy (meV per atom): -2631
# Electronic total energy (eV per formula unit): -83.02

# LiAc3Be2Pd9 | Alexandria via LeMat-Bulk | PBE-GGA | optimized geometry
data_LiAc3Be2Pd9
_cell_length_a 6.7341
_cell_length_b 6.7341
_cell_length_c 7.2607
_cell_angle_alpha 90.00
_cell_angle_beta 90.00
_cell_angle_gamma 120.00
_space_group_name_H-M_alt 'P -3 m 1'
_space_group_IT_number 164
_space_group_name_Hall '-P 3 2"'
loop_
_atom_site_label
_atom_site_type_symbol
_atom_site_fract_x
_atom_site_fract_y
_atom_site_fract_z
_atom_site_occupancy
Li1 Li 0.0000 0.0000 0.0000 1
Ac1 Ac 0.0000 0.0000 0.5000 1
Ac2 Ac 0.3333 0.6667 0.1669 1
Be1 Be 0.3333 0.6667 0.6592 1
Pd1 Pd 0.0000 0.5000 0.5000 1
Pd2 Pd 0.1743 0.3486 0.8280 1
# ΔH_f (0 K) (meV per atom): -637
# Electronic total energy (eV per formula unit): -77.99

# LiAc2BePt6 | Alexandria via LeMat-Bulk | PBE-GGA | optimized geometry
data_LiAc2BePt6
_cell_length_a 10.165
_cell_length_b 5.874
_cell_length_c 7.387
_cell_angle_alpha 90.00
_cell_angle_beta 117.22
_cell_angle_gamma 90.00
_space_group_name_H-M_alt 'C 1 2/m 1'
_space_group_IT_number 12
loop_
_space_group_symop_operation_xyz
'x,y,z'
'-x,-y,-z'
'-x,y,-z'
'x,-y,z'
'x+1/2,y+1/2,z'
'-x+1/2,-y+1/2,-z'
'-x+1/2,y+1/2,-z'
'x+1/2,-y+1/2,z'
loop_
_atom_site_label
_atom_site_type_symbol
_atom_site_fract_x
_atom_site_fract_y
_atom_site_fract_z
_atom_site_occupancy
Li1 Li 0.000 0.000 0.000 1
Ac1 Ac 0.219 0.500 0.157 1
Be1 Be 0.000 0.500 0.500 1
Pt1 Pt 0.020 0.238 0.299 1
Pt2 Pt 0.241 0.500 0.701 1
# ΔH_f (0 K) (meV per atom): -795
# Electronic total energy (eV per formula unit): -58.05

Please write out number 1 again, unchanged.
# LiAcBe2O4 | Alexandria via LeMat-Bulk | PBE-GGA | optimized geometry
data_LiAcBe2O4
_cell_length_a 5.214
_cell_length_b 5.928
_cell_length_c 6.470
_cell_angle_alpha 90.00
_cell_angle_beta 90.00
_cell_angle_gamma 90.00
_space_group_name_H-M_alt 'I 2 2 2'
_space_group_IT_number 23
loop_
_space_group_symop_operation_xyz
'x,y,z'
'-x,-y,z'
'x,-y,-z'
'-x,y,-z'
'x+1/2,y+1/2,z+1/2'
'-x+1/2,-y+1/2,z+1/2'
'x+1/2,-y+1/2,-z+1/2'
'-x+1/2,y+1/2,-z+1/2'
loop_
_atom_site_label
_atom_site_type_symbol
_atom_site_fract_x
_atom_site_fract_y
_atom_site_fract_z
_atom_site_occupancy
Li1 Li 0.000 0.000 0.000 1
Ac1 Ac 0.000 0.000 0.500 1
Be1 Be 0.000 0.500 0.304 1
O1 O 0.223 0.353 0.309 1
# Raw formation energy (meV per atom): -2446
# Electronic total energy (eV per formula unit): -52.87

> What is the electronic total energy in the third record?

-77.99 eV per formula unit

> Among the records above, which one has the lowest electronic total energy?

LiAc3Be2O6